Record 1
This record from Alexandria via LeMat-Bulk describes Ac8Nd6Ho after structural relaxation. The functional is PBE-GGA.

CIF file:
```
data_Ac8Nd6Ho
_cell_length_a 9.2627
_cell_length_b 9.2627
_cell_length_c 9.2627
_cell_angle_alpha 66.54
_cell_angle_beta 66.54
_cell_angle_gamma 66.54
_symmetry_space_group_name_H-M 'P 1'
_symmetry_Int_Tables_number 1
_symmetry_space_group_name_Hall 'P 1'
loop_
_atom_site_label
_atom_site_type_symbol
_atom_site_fract_x
_atom_site_fract_y
_atom_site_fract_z
Ac1 Ac 0.1753 0.5903 0.8633
Ac2 Ac 0.1367 0.8247 0.4097
Ac3 Ac 0.4097 0.1367 0.8247
Ac4 Ac 0.7319 0.7319 0.7319
Ac5 Ac 0.2681 0.2681 0.2681
Ac6 Ac 0.5903 0.8633 0.1753
Ac7 Ac 0.8633 0.1753 0.5903
Ac8 Ac 0.8247 0.4097 0.1367
Nd1 Nd 0.0617 0.3703 0.6805
Nd2 Nd 0.3195 0.9383 0.6297
Nd3 Nd 0.6297 0.3195 0.9383
Nd4 Nd 0.3703 0.6805 0.0617
Nd5 Nd 0.6805 0.0617 0.3703
Nd6 Nd 0.9383 0.6297 0.3195
Ho1 Ho 0.0000 0.0000 0.0000
```

Results
energy of formation: 230 meV/atom


Record 2
This record from Alexandria via LeMat-Bulk describes KCaAs2 after structural relaxation. The functional is PBE-GGA.

CIF file:
```
data_KCaAs2
_cell_length_a 5.4122
_cell_length_b 5.4122
_cell_length_c 6.8588
_cell_angle_alpha 65.18
_cell_angle_beta 65.18
_cell_angle_gamma 48.19
_symmetry_space_group_name_H-M 'P 1'
_symmetry_Int_Tables_number 1
_symmetry_space_group_name_Hall 'P 1'
loop_
_atom_site_label
_atom_site_type_symbol
_atom_site_fract_x
_atom_site_fract_y
_atom_site_fract_z
As1 As 0.0022 0.0022 0.1419
As2 As 0.4978 0.4978 0.3581
Ca1 Ca 0.2500 0.2500 0.2500
K1 K 0.7500 0.7500 0.7500
```

Results
energy of formation: -565 meV/atom
excess energy over the best structure of this formula in the dataset: 163 meV per atom


Record 3
This record from Alexandria via LeMat-Bulk describes Pr4Pb2F after structural relaxation. The functional is PBE-GGA.

CIF file:
```
data_Pr4Pb2F
_cell_length_a 4.8249
_cell_length_b 4.8249
_cell_length_c 9.7546
_cell_angle_alpha 75.68
_cell_angle_beta 75.68
_cell_angle_gamma 90.00
_symmetry_space_group_name_H-M 'P 1'
_symmetry_Int_Tables_number 1
_symmetry_space_group_name_Hall 'P 1'
loop_
_atom_site_label
_atom_site_type_symbol
_atom_site_fract_x
_atom_site_fract_y
_atom_site_fract_z
Pb1 Pb 0.6346 0.6346 0.7308
Pb2 Pb 0.3654 0.3654 0.2692
Pr1 Pr 0.8153 0.8153 0.3694
Pr2 Pr 0.1847 0.1847 0.6306
Pr3 Pr 0.0000 0.5000 0.0000
Pr4 Pr 0.5000 0.0000 0.0000
F1 F 0.0000 0.0000 0.0000
```

Results
ΔE_f (raw): -1.025 eV per atom


Record 4
This record from Alexandria via LeMat-Bulk describes KTb6Te8 after structural relaxation. The functional is PBE-GGA.

CIF file:
```
data_KTb6Te8
_cell_length_a 4.4751
_cell_length_b 11.7046
_cell_length_c 11.7046
_cell_angle_alpha 120.00
_cell_angle_beta 90.00
_cell_angle_gamma 90.00
_symmetry_space_group_name_H-M 'P 1'
_symmetry_Int_Tables_number 1
_symmetry_space_group_name_Hall 'P 1'
loop_
_atom_site_label
_atom_site_type_symbol
_atom_site_fract_x
_atom_site_fract_y
_atom_site_fract_z
K1 K 0.5000 0.0000 0.0000
Tb1 Tb 0.7494 0.5136 0.6494
Tb2 Tb 0.7494 0.3506 0.8641
Tb3 Tb 0.7494 0.1359 0.4864
Tb4 Tb 0.2506 0.4864 0.3506
Tb5 Tb 0.2506 0.6494 0.1359
Tb6 Tb 0.2506 0.8641 0.5136
Te1 Te 0.7504 0.6512 0.9554
Te2 Te 0.7504 0.0446 0.6957
Te3 Te 0.7504 0.3043 0.3488
Te4 Te 0.2496 0.3488 0.0446
Te5 Te 0.2496 0.9554 0.3043
Te6 Te 0.2496 0.6957 0.6512
Te7 Te 0.7505 0.6667 0.3333
Te8 Te 0.2495 0.3333 0.6667
```

Results
ΔE_f (raw): -1.342 eV per atom


Record 5
This record from Alexandria via LeMat-Bulk describes ZrPb2W after structural relaxation. The functional is PBE-GGA.

CIF file:
```
data_ZrPb2W
_cell_length_a 3.6695
_cell_length_b 5.1614
_cell_length_c 4.7016
_cell_angle_alpha 90.00
_cell_angle_beta 90.00
_cell_angle_gamma 90.00
_symmetry_space_group_name_H-M 'P 1'
_symmetry_Int_Tables_number 1
_symmetry_space_group_name_Hall 'P 1'
loop_
_atom_site_label
_atom_site_type_symbol
_atom_site_fract_x
_atom_site_fract_y
_atom_site_fract_z
Pb1 Pb 0.0000 0.0000 0.0000
Pb2 Pb 0.5000 0.5000 0.0000
W1 W 0.5000 0.0000 0.5000
Zr1 Zr 0.0000 0.5000 0.5000
```

Results
energy of formation: 566 meV/atom
excess energy over the best structure of this formula in the dataset: 218 meV per atom


Record 6
This record from Alexandria via LeMat-Bulk describes HgPb5 after structural relaxation. The functional is PBE-GGA.

CIF file:
```
data_HgPb5
_cell_length_a 6.5414
_cell_length_b 6.5414
_cell_length_c 6.5414
_cell_angle_alpha 60.00
_cell_angle_beta 60.00
_cell_angle_gamma 60.00
_symmetry_space_group_name_H-M 'P 1'
_symmetry_Int_Tables_number 1
_symmetry_space_group_name_Hall 'P 1'
loop_
_atom_site_label
_atom_site_type_symbol
_atom_site_fract_x
_atom_site_fract_y
_atom_site_fract_z
Hg1 Hg 0.0000 0.0000 0.0000
Pb1 Pb 0.2500 0.2500 0.2500
Pb2 Pb 0.6249 0.6249 0.6249
Pb3 Pb 0.6249 0.6249 0.1253
Pb4 Pb 0.1253 0.6249 0.6249
Pb5 Pb 0.6249 0.1253 0.6249
```

Results
energy of formation: 148 meV/atom
excess energy over the best structure of this formula in the dataset: 147 meV per atom


no.,spin magnetization (μB per formula unit)
1,0.000
2,0.000
3,1.736
4,0.196
5,0.000
6,0.000